This record from Alexandria via LeMat-Bulk describes crystalline Cu3GeAu2 at its relaxed geometry. The functional is PBE.

Calculated values
ρ in g/cm3: 12.193
E_tot in eV/atom: -3.905
Formation energy in meV per atom: 5
Space-group type: C2/m (12)
N(E_F) in states/eV/cell: 2.87

a = 6.4685 Å, b = 6.4685 Å, c = 7.2609 Å
α = 90.23°, β = 90.23°, γ = 143.90°
With the nearest neighbours (Å) after each atom.
Fractional coordinates of all 12 atoms:
Cu 0.0001 0.0001 0.2476  2 Ge 2.67, 6 Au 2.68-2.73, 4 Cu 2.92
Cu 0.9999 0.9999 0.7524  2 Ge 2.67, 6 Au 2.68-2.73, 4 Cu 2.92
Cu 0.3269 0.6715 0.7383  3 Ge 2.63-2.71, 5 Au 2.74-2.85, 4 Cu 2.77-2.92
Cu 0.3285 0.6731 0.2617  3 Ge 2.63-2.71, 5 Au 2.74-2.85, 4 Cu 2.77-2.92
Cu 0.6715 0.3269 0.7383  3 Ge 2.63-2.71, 5 Au 2.74-2.85, 4 Cu 2.77-2.92
Cu 0.6731 0.3285 0.2617  3 Ge 2.63-2.71, 5 Au 2.74-2.85, 4 Cu 2.77-2.92
Ge 0.1580 0.8420 0.5000  8 Cu 2.63-2.71, 2 Au 2.79
Ge 0.8420 0.1580 0.5000  8 Cu 2.63-2.71, 2 Au 2.79
Au 0.1672 0.8328 0.0000  8 Cu 2.73-2.78, 4 Au 2.86-2.87
Au 0.5000 0.5000 0.0000  8 Cu 2.68-2.85, 4 Au 2.87
Au 0.5000 0.5000 0.5000  8 Cu 2.70-2.74, 4 Ge 2.79
Au 0.8328 0.1672 0.0000  8 Cu 2.73-2.78, 4 Au 2.86-2.87